Density functional theory data (PBE) for a relaxed ZrScSe2O crystal.

a = 5.3203 Å, b = 3.9571 Å, c = 5.3203 Å
α = 90.00°, β = 90.00°, γ = 90.00°
Each line ends with the local moment (μB).
Atoms (fractional coordinates):
Sc 0.5000 0.5000 0.5000  0.57
O 0.0000 0.5000 0.0000  0.00
Se 0.0000 0.0000 0.5000  -0.01
Se 0.5000 0.0000 0.0000  -0.01
Zr 0.0000 0.0000 0.0000  0.03

Output
D(E_F) = 2.73 states/eV/cell
formation energy from raw total energies = -1.489 eV/atom